PuVRhO6 | PBE+U | optimized geometry

Calculated values
Uncorrected energy in eV/atom: -8.37
Space group: P-31c (163)
Spin magnetization in μB per formula unit: 4.00

abc: 5.253 5.253 8.749
angles: 90.00 90.00 120.00
Sites, in units of the cell vectors:
O: 0.675 0.660 0.126
O: 0.985 0.660 0.374
O: 0.985 0.325 0.126
O: 0.660 0.985 0.874
O: 0.675 0.015 0.374
O: 0.325 0.340 0.874
O: 0.325 0.985 0.626
O: 0.660 0.675 0.626
O: 0.015 0.675 0.874
O: 0.340 0.015 0.126
O: 0.015 0.340 0.626
O: 0.340 0.325 0.374
Pu: 0.333 0.667 0.250
Pu: 0.667 0.333 0.750
Rh: 0.000 0.000 0.500
Rh: 0.000 0.000 0.000
V: 0.333 0.667 0.750
V: 0.667 0.333 0.250